VASP calculation (PBE) on Lu2GaCo after structural relaxation.

a b c (Å): 6.777 6.777 6.777
angles (deg): 90.00 90.00 90.00
Element x y z (fractional)
Lu 0.250 0.250 0.250
Lu 0.250 0.250 0.750
Lu 0.250 0.750 0.250
Lu 0.250 0.750 0.750
Lu 0.750 0.250 0.250
Lu 0.750 0.250 0.750
Lu 0.750 0.750 0.250
Lu 0.750 0.750 0.750
Ga 0.000 0.000 0.000
Ga 0.000 0.500 0.500
Ga 0.500 0.000 0.500
Ga 0.500 0.500 0.000
Co 0.000 0.000 0.500
Co 0.000 0.500 0.000
Co 0.500 0.000 0.000
Co 0.500 0.500 0.500

Total magnetic moment in μB per formula unit: 0.539
SG: Fm-3m
ΔE_f in eV/atom: -0.38
Energy above the lowest structure with this stoichiometry in eV per formula unit: 0.26

=====

VASP calculation (PBE) on ReAgS3 after structural relaxation.

a b c (Å): 6.228 5.940 6.707
angles (deg): 90.00 111.05 90.00
Element x y z (fractional)
Re 0.109 0.000 0.093
Re 0.891 0.500 0.907
Ag 0.423 0.281 0.736
Ag 0.577 0.781 0.264
S 0.042 0.199 0.772
S 0.220 0.696 0.927
S 0.396 0.149 0.346
S 0.604 0.649 0.654
S 0.780 0.196 0.073
S 0.958 0.699 0.228

Total magnetic moment in μB per formula unit: 0.000
Formation energy without anion corrections in eV/atom: -0.143
SG: P2_1
Energy above the lowest structure with this stoichiometry in eV per formula unit: 0.00

=====

VASP calculation (PBE) on SmTm3Th3 after structural relaxation.

a b c (Å): 9.430 9.430 5.818
angles (deg): 90.00 90.00 120.00
Element x y z (fractional)
Sm 0.333 0.667 0.250
Sm 0.667 0.333 0.750
Tm 0.092 0.471 0.750
Tm 0.379 0.908 0.750
Tm 0.471 0.379 0.250
Tm 0.529 0.621 0.750
Tm 0.621 0.092 0.250
Tm 0.908 0.529 0.250
Th 0.046 0.235 0.250
Th 0.189 0.954 0.250
Th 0.235 0.189 0.750
Th 0.765 0.811 0.250
Th 0.811 0.046 0.750
Th 0.954 0.765 0.750

Total magnetic moment in μB per formula unit: 0.000
SG: P6_3/m
ΔE_f in eV/atom: 0.04
Energy above the lowest structure with this stoichiometry in eV per formula unit: 0.00